1.
{"formula": "PtAu2Se", "functional": "PBEsol", "state": "relaxed", "m_tot_mub_per_fu": 0.0, "spacegroup": "P4/mmm", "final_energy_ev_per_atom": -4.38, "vol_a3_per_cell": 68.5, "lattice_angstrom": [[-1.1613, -2.4460, -0.7229], [-1.1063, -0.8756, 4.7398], [-4.3627, 2.2494, -0.6028]], "species": ["Au", "Au", "Pt", "Se"], "fractional_positions": [[0.0000, 0.0000, 0.5000], [0.0000, 0.5000, 0.0000], [0.5000, 0.5000, 0.5000], [0.5000, 0.0000, 0.0000]]}

2.
{"formula": "IrC", "functional": "PBEsol", "state": "relaxed", "formation_energy_mev_per_atom": 1342.4, "m_tot_mub_per_fu": 0.0, "spacegroup": "Cmmm", "final_energy_ev_per_atom": -8.39, "vol_a3_per_cell": 24.4, "lattice_angstrom": [[2.6491, 0.0000, 0.0000], [0.0000, 3.1276, 0.0000], [-1.3245, 0.0000, 2.9458]], "species": ["C", "Ir"], "fractional_positions": [[0.0000, 0.0000, 0.0000], [0.5000, 0.5000, 0.0000]]}

3.
{"formula": "CeSiNi4", "functional": "PBEsol", "state": "relaxed", "m_tot_mub_per_fu": 0.0, "spacegroup": "Cmmm", "final_energy_ev_per_atom": -6.77, "vol_a3_per_cell": 79.6, "lattice_angstrom": [[3.9760, 0.0000, 0.0000], [0.0000, 4.7243, 0.0107], [0.0000, -2.1004, 4.2317]], "species": ["Ce", "Si", "Ni", "Ni", "Ni", "Ni"], "fractional_positions": [[0.0000, 0.0000, 0.0000], [0.5000, 0.5000, 0.5000], [0.0000, 0.3375, 0.6625], [0.0000, 0.6625, 0.3375], [0.5000, 0.5000, 0.0000], [0.5000, 0.0000, 0.5000]]}

4.
{"formula": "Nb4CuSi", "functional": "PBEsol", "state": "relaxed", "m_tot_mub_per_fu": 0.0, "spacegroup": "P4/mcc", "final_energy_ev_per_atom": -9.16, "vol_a3_per_cell": 191.3, "lattice_angstrom": [[5.0062, 0.0000, 0.0000], [0.0000, 6.1812, 0.0000], [0.0000, 0.0000, 6.1812]], "species": ["Nb", "Nb", "Nb", "Nb", "Nb", "Nb", "Nb", "Nb", "Si", "Si", "Cu", "Cu"], "fractional_positions": [[0.5000, 0.1586, 0.3416], [0.5000, 0.8414, 0.6584], [0.5000, 0.6584, 0.1586], [0.5000, 0.3416, 0.8414], [0.0000, 0.8414, 0.3416], [0.0000, 0.6584, 0.8414], [0.0000, 0.3416, 0.1586], [0.0000, 0.1586, 0.6584], [0.7500, 0.5000, 0.5000], [0.2500, 0.5000, 0.5000], [0.7500, 0.0000, 0.0000], [0.2500, 0.0000, 0.0000]]}

5.
{"formula": "TcSbPb2", "functional": "PBEsol", "state": "relaxed", "m_tot_mub_per_fu": 0.0, "spacegroup": "P4/mmm", "final_energy_ev_per_atom": -5.46, "vol_a3_per_cell": 91.2, "lattice_angstrom": [[-1.6645, 0.4849, -2.8610], [-1.7277, -2.8155, 0.5280], [-5.6781, 4.2385, 4.0219]], "species": ["Pb", "Pb", "Sb", "Tc"], "fractional_positions": [[0.0000, 0.0000, 0.7015], [0.0000, 0.0000, 0.2985], [0.5000, 0.5000, 0.0000], [0.5000, 0.5000, 0.5000]]}

6.
{"formula": "InGe3Au", "functional": "PBEsol", "state": "relaxed", "formation_energy_mev_per_atom": 547.1, "m_tot_mub_per_fu": 0.0, "spacegroup": "Pm-3m", "final_energy_ev_per_atom": -3.80, "vol_a3_per_cell": 124.8, "lattice_angstrom": [[4.9976, 0.0000, 0.0000], [0.0000, 4.9976, 0.0000], [0.0000, 0.0000, 4.9976]], "species": ["Ge", "Ge", "Ge", "Au", "In"], "fractional_positions": [[0.0000, 0.5000, 0.0000], [0.0000, 0.0000, 0.5000], [0.5000, 0.0000, 0.0000], [0.0000, 0.0000, 0.0000], [0.5000, 0.5000, 0.5000]]}

7.
{"formula": "ZrScPb2", "functional": "PBEsol", "state": "relaxed", "formation_energy_mev_per_atom": -284.1, "m_tot_mub_per_fu": 0.6, "spacegroup": "Cmmm", "final_energy_ev_per_atom": -6.21, "vol_a3_per_cell": 93.1, "lattice_angstrom": [[3.3247, 0.0288, 0.0000], [-0.5850, 3.2730, 0.0000], [0.0000, 0.0000, 8.5409]], "species": ["Pb", "Pb", "Sc", "Zr"], "fractional_positions": [[0.0000, 0.0000, 0.2505], [0.0000, 0.0000, 0.7495], [0.5000, 0.5000, 0.5000], [0.5000, 0.5000, 0.0000]]}

8.
{"formula": "GeTeRh2S", "functional": "PBEsol", "state": "relaxed", "m_tot_mub_per_fu": 0.0, "spacegroup": "P4/mmm", "final_energy_ev_per_atom": -5.56, "vol_a3_per_cell": 94.1, "lattice_angstrom": [[-3.7904, -1.4368, -1.6159], [2.1598, -2.6750, -2.6876], [-0.1196, -3.5482, 3.4355]], "species": ["Ge", "Te", "Rh", "Rh", "S"], "fractional_positions": [[0.0000, 0.0000, 0.5000], [0.5000, 0.5000, 0.5000], [0.0000, 0.5000, 0.0000], [0.5000, 0.0000, 0.0000], [0.0000, 0.0000, 0.0000]]}

9.
{"formula": "TiRu3N", "functional": "PBEsol", "state": "relaxed", "m_tot_mub_per_fu": 0.0, "spacegroup": "Pm-3m", "final_energy_ev_per_atom": -9.70, "vol_a3_per_cell": 62.6, "lattice_angstrom": [[3.9709, 0.0000, 0.0000], [0.0000, 3.9709, 0.0000], [0.0000, 0.0000, 3.9709]], "species": ["Ru", "Ru", "Ru", "N", "Ti"], "fractional_positions": [[0.0000, 0.5000, 0.0000], [0.0000, 0.0000, 0.5000], [0.5000, 0.0000, 0.0000], [0.0000, 0.0000, 0.0000], [0.5000, 0.5000, 0.5000]]}

10.
{"formula": "CaAg4", "functional": "PBEsol", "state": "relaxed", "formation_energy_mev_per_atom": -95.4, "m_tot_mub_per_fu": 0.0, "spacegroup": "I4/mmm", "final_energy_ev_per_atom": -3.17, "vol_a3_per_cell": 103.3, "lattice_angstrom": [[3.9994, 0.0000, 0.0000], [0.0000, 3.9994, 0.0000], [-1.9997, -1.9997, 6.4583]], "species": ["Ca", "Ag", "Ag", "Ag", "Ag"], "fractional_positions": [[0.0000, 0.0000, 0.0000], [0.7500, 0.2500, 0.5000], [0.2500, 0.7500, 0.5000], [0.6028, 0.6028, 0.2057], [0.3972, 0.3972, 0.7943]]}

11.
{"formula": "AlCrIr2", "functional": "PBEsol", "state": "relaxed", "formation_energy_mev_per_atom": 56.2, "m_tot_mub_per_fu": 0.0, "spacegroup": "Cmm2", "final_energy_ev_per_atom": -8.44, "vol_a3_per_cell": 54.6, "lattice_angstrom": [[-1.6303, -2.1143, 0.0239], [1.8578, 0.1362, 1.9127], [-5.5064, 4.3027, 5.0420]], "species": ["Cr", "Ir", "Ir", "Al"], "fractional_positions": [[0.5000, 0.5000, 0.2527], [0.0000, 0.0000, 0.0164], [0.5000, 0.5000, 0.7353], [0.0000, 0.0000, 0.4956]]}

12.
{"formula": "TbCoO3", "functional": "PBEsol", "state": "relaxed", "m_tot_mub_per_fu": 0.0, "spacegroup": "Pnma", "final_energy_ev_per_atom": -8.06, "vol_a3_per_cell": 202.3, "lattice_angstrom": [[5.0873, 0.0000, 0.0000], [0.0000, 5.4306, 0.0000], [0.0000, 0.0000, 7.3232]], "species": ["Tb", "Tb", "Tb", "Tb", "Co", "Co", "Co", "Co", "O", "O", "O", "O", "O", "O", "O", "O", "O", "O", "O", "O"], "fractional_positions": [[0.5210, 0.5736, 0.2500], [0.9790, 0.0736, 0.2500], [0.4790, 0.4264, 0.7500], [0.0210, 0.9264, 0.7500], [0.0000, 0.5000, 0.0000], [0.5000, 0.0000, 0.5000], [0.0000, 0.5000, 0.5000], [0.5000, 0.0000, 0.0000], [0.4041, 0.9766, 0.2500], [0.0959, 0.4766, 0.2500], [0.5959, 0.0234, 0.7500], [0.9041, 0.5234, 0.7500], [0.8076, 0.8006, 0.0478], [0.6924, 0.3006, 0.4522], [0.1924, 0.1994, 0.5478], [0.3076, 0.6994, 0.9522], [0.1924, 0.1994, 0.9522], [0.3076, 0.6994, 0.5478], [0.8076, 0.8006, 0.4522], [0.6924, 0.3006, 0.0478]]}

13.
{"formula": "LiMgZn2", "functional": "PBEsol", "state": "relaxed", "formation_energy_mev_per_atom": -95.2, "m_tot_mub_per_fu": 0.0, "spacegroup": "Cmmm", "final_energy_ev_per_atom": -1.81, "vol_a3_per_cell": 63.7, "lattice_angstrom": [[-2.3516, 0.0035, 1.6749], [2.3773, -2.5064, 3.3430], [0.6907, 4.6594, 0.9601]], "species": ["Zn", "Zn", "Mg", "Li"], "fractional_positions": [[0.0000, 0.0000, 0.5000], [0.0000, 0.5000, 0.0000], [0.5000, 0.0000, 0.0000], [0.5000, 0.5000, 0.5000]]}

14.
{"formula": "CaZrOs2", "functional": "PBEsol", "state": "relaxed", "formation_energy_mev_per_atom": 480.8, "m_tot_mub_per_fu": 0.0, "spacegroup": "I-4m2", "final_energy_ev_per_atom": -8.43, "vol_a3_per_cell": 70.8, "lattice_angstrom": [[-3.1551, 1.6978, -1.6137], [1.0367, -1.4154, -3.5161], [-1.3918, -3.9323, 3.3684]], "species": ["Ca", "Os", "Os", "Zr"], "fractional_positions": [[0.2500, 0.7500, 0.5000], [0.0000, 0.0000, 0.0000], [0.7500, 0.2500, 0.5000], [0.5000, 0.5000, 0.0000]]}

15.
{"formula": "BaAlAu", "functional": "PBEsol", "state": "relaxed", "formation_energy_mev_per_atom": -490.6, "m_tot_mub_per_fu": 0.0, "spacegroup": "P-6m2", "final_energy_ev_per_atom": -3.88, "vol_a3_per_cell": 84.1, "lattice_angstrom": [[-0.3967, -4.4923, 0.0304], [1.7276, 2.0869, -3.6055], [4.3746, -0.3736, 1.8799]], "species": ["Au", "Ba", "Al"], "fractional_positions": [[0.3333, 0.6667, 0.0000], [0.6667, 0.3333, 0.5000], [0.0000, 0.0000, 0.0000]]}

16.
{"formula": "Na2SrZn", "functional": "PBEsol", "state": "relaxed", "formation_energy_mev_per_atom": 132.1, "m_tot_mub_per_fu": 0.0, "spacegroup": "I-42d", "final_energy_ev_per_atom": -1.42, "vol_a3_per_cell": 263.5, "lattice_angstrom": [[4.6199, 0.0000, 0.0000], [0.0000, 4.6199, 0.0000], [-2.3100, -2.3100, 12.3436]], "species": ["Sr", "Sr", "Zn", "Zn", "Na", "Na", "Na", "Na"], "fractional_positions": [[0.2500, 0.7500, 0.5000], [0.0000, 0.0000, 0.0000], [0.7500, 0.2500, 0.5000], [0.5000, 0.5000, 0.0000], [0.8396, 0.3750, 0.2500], [0.4104, 0.8750, 0.2500], [0.6250, 0.5896, 0.7500], [0.1250, 0.1604, 0.7500]]}

17.
{"formula": "ZnNi3", "functional": "PBEsol", "state": "relaxed", "formation_energy_mev_per_atom": -101.0, "m_tot_mub_per_fu": 0.9, "spacegroup": "Imm2", "final_energy_ev_per_atom": -5.11, "vol_a3_per_cell": 43.5, "lattice_angstrom": [[-0.5441, -0.8263, 2.2992], [4.1417, -0.8099, 0.6891], [-1.3081, 4.5754, -0.0276]], "species": ["Ni", "Ni", "Ni", "Zn"], "fractional_positions": [[0.7520, 0.7548, 0.5041], [0.2480, 0.2507, 0.4959], [0.5000, 0.1652, 0.0000], [0.0000, 0.6627, 0.0000]]}

18.
{"formula": "TcHg2Rh", "functional": "PBEsol", "state": "relaxed", "formation_energy_mev_per_atom": 457.5, "m_tot_mub_per_fu": 0.4, "spacegroup": "C2/m", "final_energy_ev_per_atom": -4.68, "vol_a3_per_cell": 66.2, "lattice_angstrom": [[-2.3354, 0.7400, 1.4776], [-1.2453, -3.6083, -2.9308], [1.6724, -2.7102, 4.0007]], "species": ["Hg", "Hg", "Rh", "Tc"], "fractional_positions": [[0.7490, 0.4980, 0.7482], [0.2510, 0.5020, 0.2518], [0.0000, 0.0000, 0.5000], [0.5000, 0.0000, 0.0000]]}

19.
{"formula": "MnAsIr", "functional": "PBEsol", "state": "relaxed", "formation_energy_mev_per_atom": 103.9, "m_tot_mub_per_fu": 2.9, "spacegroup": "I4mm", "final_energy_ev_per_atom": -8.13, "vol_a3_per_cell": 41.4, "lattice_angstrom": [[2.8707, 0.0000, 0.0000], [0.0000, 2.8707, 0.0000], [-1.4353, -1.4353, 5.0202]], "species": ["As", "Ir", "Mn"], "fractional_positions": [[0.9978, 0.9978, 0.9955], [0.6629, 0.6629, 0.3257], [0.3394, 0.3394, 0.6787]]}

20.
{"formula": "Rb2AgI3", "functional": "PBEsol", "state": "relaxed", "m_tot_mub_per_fu": 0.0, "spacegroup": "Pnma", "final_energy_ev_per_atom": -2.84, "vol_a3_per_cell": 967.7, "lattice_angstrom": [[-2.2164, -4.2588, -0.4727], [8.3948, -4.7258, 3.2148], [-6.4198, 1.2729, 18.6351]], "species": ["Rb", "Rb", "Rb", "Rb", "Rb", "Rb", "Rb", "Rb", "Ag", "Ag", "Ag", "Ag", "I", "I", "I", "I", "I", "I", "I", "I", "I", "I", "I", "I"], "fractional_positions": [[0.2500, 0.5805, 0.7887], [0.7500, 0.4195, 0.2113], [0.2500, 0.0805, 0.7113], [0.7500, 0.9195, 0.2887], [0.2500, 0.2558, 0.4579], [0.7500, 0.7442, 0.5421], [0.2500, 0.7558, 0.0421], [0.7500, 0.2442, 0.9579], [0.2500, 0.1383, 0.1363], [0.7500, 0.8617, 0.8637], [0.2500, 0.6383, 0.3637], [0.7500, 0.3617, 0.6363], [0.2500, 0.1863, 0.2764], [0.7500, 0.8137, 0.7236], [0.2500, 0.6863, 0.2236], [0.7500, 0.3137, 0.7764], [0.2500, 0.3822, 0.0704], [0.7500, 0.6178, 0.9296], [0.2500, 0.8822, 0.4296], [0.7500, 0.1178, 0.5704], [0.2500, 0.4937, 0.6024], [0.7500, 0.5063, 0.3976], [0.2500, 0.9937, 0.8976], [0.7500, 0.0063, 0.1024]]}

21.
{"formula": "CsB3Ir", "functional": "PBEsol", "state": "relaxed", "formation_energy_mev_per_atom": 3815.3, "m_tot_mub_per_fu": 0.0, "spacegroup": "Pm-3m", "final_energy_ev_per_atom": -2.55, "vol_a3_per_cell": 78.5, "lattice_angstrom": [[4.2816, 0.0000, 0.0000], [0.0000, 4.2816, 0.0000], [0.0000, 0.0000, 4.2816]], "species": ["Cs", "B", "B", "B", "Ir"], "fractional_positions": [[0.0000, 0.0000, 0.0000], [0.0000, 0.5000, 0.0000], [0.0000, 0.0000, 0.5000], [0.5000, 0.0000, 0.0000], [0.5000, 0.5000, 0.5000]]}

22.
{"formula": "RbYS3", "functional": "PBEsol", "state": "relaxed", "m_tot_mub_per_fu": 0.0, "spacegroup": "Pm-3m", "final_energy_ev_per_atom": -3.81, "vol_a3_per_cell": 134.8, "lattice_angstrom": [[5.1274, 0.0000, 0.0000], [0.0000, 5.1274, 0.0000], [0.0000, 0.0000, 5.1274]], "species": ["Y", "S", "S", "S", "Rb"], "fractional_positions": [[0.5000, 0.5000, 0.5000], [0.0000, 0.5000, 0.0000], [0.0000, 0.0000, 0.5000], [0.5000, 0.0000, 0.0000], [0.0000, 0.0000, 0.0000]]}

23.
{"formula": "CrReIr2", "functional": "PBEsol", "state": "relaxed", "formation_energy_mev_per_atom": -264.4, "m_tot_mub_per_fu": 0.0, "spacegroup": "Pmm2", "final_energy_ev_per_atom": -11.07, "vol_a3_per_cell": 54.0, "lattice_angstrom": [[2.6937, 0.0000, 0.0000], [0.0000, 4.2688, 0.0000], [0.0000, 0.0000, 4.6988]], "species": ["Re", "Ir", "Ir", "Cr"], "fractional_positions": [[0.5000, 0.0000, 0.5354], [0.0000, 0.0000, 0.0517], [0.0000, 0.5000, 0.7038], [0.5000, 0.5000, 0.2090]]}

24.
{"formula": "Co2RuCl", "functional": "PBEsol", "state": "relaxed", "m_tot_mub_per_fu": 3.3, "spacegroup": "R3m", "final_energy_ev_per_atom": -6.49, "vol_a3_per_cell": 49.8, "lattice_angstrom": [[2.7370, 0.0000, 0.0000], [1.3685, 2.3703, 0.0000], [1.3685, 0.7901, 7.6688]], "species": ["Ru", "Co", "Co", "Cl"], "fractional_positions": [[0.4979, 0.4979, 0.5063], [0.0004, 0.0004, 0.9989], [0.7474, 0.7474, 0.7580], [0.2544, 0.2544, 0.2369]]}

25.
{"formula": "KMnBe", "functional": "PBEsol", "state": "relaxed", "formation_energy_mev_per_atom": 1606.4, "m_tot_mub_per_fu": 3.6, "spacegroup": "F-43m", "final_energy_ev_per_atom": -3.36, "vol_a3_per_cell": 73.1, "lattice_angstrom": [[-3.5593, 0.7322, -2.9700], [0.1707, -1.7611, -4.3468], [-2.8197, -3.5529, -1.2048]], "species": ["Be", "K", "Mn"], "fractional_positions": [[0.0000, 0.0000, 0.0000], [0.5000, 0.5000, 0.5000], [0.7500, 0.7500, 0.7500]]}

26.
{"formula": "CuH2Pd", "functional": "PBEsol", "state": "relaxed", "m_tot_mub_per_fu": 0.0, "spacegroup": "I-42d", "final_energy_ev_per_atom": -4.25, "vol_a3_per_cell": 66.9, "lattice_angstrom": [[3.9475, 0.0000, 0.0000], [0.0000, 3.9475, 0.0000], [-1.9738, -1.9738, 4.2950]], "species": ["H", "H", "H", "H", "Cu", "Cu", "Pd", "Pd"], "fractional_positions": [[0.8667, 0.3750, 0.2500], [0.3833, 0.8750, 0.2500], [0.6250, 0.6167, 0.7500], [0.1250, 0.1333, 0.7500], [0.7500, 0.2500, 0.5000], [0.5000, 0.5000, 0.0000], [0.2500, 0.7500, 0.5000], [0.0000, 0.0000, 0.0000]]}

27.
{"formula": "La2AgAu2", "functional": "PBEsol", "state": "relaxed", "formation_energy_mev_per_atom": -406.4, "m_tot_mub_per_fu": 0.0, "spacegroup": "I4/mmm", "final_energy_ev_per_atom": -4.78, "vol_a3_per_cell": 134.2, "lattice_angstrom": [[5.7681, 0.0000, 0.0000], [-2.8841, 4.9592, 0.0284], [0.0000, 3.3275, 4.7116]], "species": ["Au", "Au", "Ag", "La", "La"], "fractional_positions": [[0.6581, 0.3163, 0.3419], [0.3419, 0.6837, 0.6581], [0.0000, 0.0000, 0.0000], [0.7500, 0.5000, 0.7500], [0.2500, 0.5000, 0.2500]]}